# PBE Pm2Ge5Ir3, relaxed
data_Pm2Ge5Ir3
_symmetry_space_group_name_H-M 'I b a m'
_symmetry_Int_Tables_number 72
_symmetry_space_group_name_Hall '-I 2 2c'
_cell_length_a 10.304
_cell_length_b 11.940
_cell_length_c 6.083
_cell_angle_alpha 90.00
_cell_angle_beta 90.00
_cell_angle_gamma 90.00
loop_
_atom_site_label
_atom_site_fract_x
_atom_site_fract_y
_atom_site_fract_z
Pm1 0.228 0.133 0.000
Ge1 0.000 0.000 0.250
Ge2 0.000 0.276 0.250
Ge3 0.161 0.400 0.000
Ir1 0.000 0.500 0.250
Ir2 0.110 0.141 0.500
# crystal system = orthorhombic
# M_tot = 0.00 μB per cell
# E = -6.664 eV per atom


# PBE Tm3Mg3Al2Cd, relaxed
data_Tm3Mg3Al2Cd
_symmetry_space_group_name_H-M 'P -6 2 m'
_symmetry_Int_Tables_number 189
_symmetry_space_group_name_Hall 'P -6 -2'
_cell_length_a 7.3766
_cell_length_b 7.3766
_cell_length_c 4.4667
_cell_angle_alpha 90.00
_cell_angle_beta 90.00
_cell_angle_gamma 120.00
loop_
_atom_site_label
_atom_site_fract_x
_atom_site_fract_y
_atom_site_fract_z
Tm1 0.0000 0.5683 0.0000
Mg1 0.0000 0.2461 0.5000
Al1 0.3333 0.6667 0.5000
Cd1 0.0000 0.0000 0.0000
# crystal system = hexagonal
# M_tot = 0.00 μB per cell
# E = -3.228 eV per atom


# PBE NaZnHg, relaxed
data_NaZnHg
_symmetry_space_group_name_H-M 'F -4 3 m'
_symmetry_Int_Tables_number 216
_symmetry_space_group_name_Hall 'F -4 2 3'
_cell_length_a 6.693
_cell_length_b 6.693
_cell_length_c 6.693
_cell_angle_alpha 90.00
_cell_angle_beta 90.00
_cell_angle_gamma 90.00
loop_
_atom_site_label
_atom_site_fract_x
_atom_site_fract_y
_atom_site_fract_z
Na1 0.000 0.000 0.000
Zn1 0.250 0.250 0.750
Hg1 0.000 0.000 0.500
# excess energy over the best structure of this formula in the dataset = 0.00 eV per formula unit
# crystal system = cubic
# E = -0.957 eV per atom


# PBE CuB2C8N8, relaxed
data_CuB2C8N8
_symmetry_space_group_name_H-M 'C 1 2/m 1'
_symmetry_Int_Tables_number 12
_cell_length_a 13.132
_cell_length_b 7.236
_cell_length_c 5.995
_cell_angle_alpha 90.00
_cell_angle_beta 93.28
_cell_angle_gamma 90.00
loop_
_symmetry_equiv_pos_as_xyz
'x,y,z'
'-x,-y,-z'
'-x,y,-z'
'x,-y,z'
'x+1/2,y+1/2,z'
'-x+1/2,-y+1/2,-z'
'-x+1/2,y+1/2,-z'
'x+1/2,-y+1/2,z'
loop_
_atom_site_label
_atom_site_fract_x
_atom_site_fract_y
_atom_site_fract_z
Cu1 0.000 0.000 0.000
B1 0.165 0.500 0.353
C1 0.110 0.323 0.253
C2 0.161 0.500 0.616
C3 0.221 0.000 0.715
N1 0.069 0.193 0.178
N2 0.136 0.000 0.764
N3 0.159 0.500 0.809
# crystal system = monoclinic
# E = -7.921 eV per atom


# PBE HfBW, relaxed
data_HfBW
_symmetry_space_group_name_H-M 'F -4 3 m'
_symmetry_Int_Tables_number 216
_symmetry_space_group_name_Hall 'F -4 2 3'
_cell_length_a 5.941
_cell_length_b 5.941
_cell_length_c 5.941
_cell_angle_alpha 90.00
_cell_angle_beta 90.00
_cell_angle_gamma 90.00
loop_
_atom_site_label
_atom_site_fract_x
_atom_site_fract_y
_atom_site_fract_z
Hf1 0.000 0.000 0.000
B1 0.000 0.000 0.500
W1 0.250 0.250 0.750
# excess energy over the best structure of this formula in the dataset = 0.00 eV per formula unit
# crystal system = cubic
# M_tot = 0.06 μB per cell
# E = -8.381 eV per atom


# PBE Ac2Zn6Ge3, relaxed
data_Ac2Zn6Ge3
_symmetry_space_group_name_H-M 'P -6 2 m'
_symmetry_Int_Tables_number 189
_symmetry_space_group_name_Hall 'P -6 -2'
_cell_length_a 7.8629
_cell_length_b 7.8629
_cell_length_c 4.2536
_cell_angle_alpha 90.00
_cell_angle_beta 90.00
_cell_angle_gamma 120.00
loop_
_atom_site_label
_atom_site_fract_x
_atom_site_fract_y
_atom_site_fract_z
Ac1 0.3333 0.6667 0.0000
Zn1 0.0000 0.2895 0.5000
Zn2 0.0000 0.8142 0.0000
Ge1 0.0000 0.6269 0.5000
# crystal system = hexagonal
# M_tot = 0.00 μB per cell
# E = -3.101 eV per atom


Which of these has the lowest E?
HfBW